# Nd2LuC (PBE, relaxed)
# Total magnetic moment: 0.00 μB/cell
# DOS(E_F): 4.29 states/eV/cell
# Energy of formation from the pure elements: 97 meV per atom
# Symmetry: No. 166
# Calculated total energy: -5.724 eV/atom
# Crystal system: trigonal
data_Nd2LuC
_symmetry_space_group_name_H-M 'P 1'
_symmetry_Int_Tables_number 1
_cell_length_a 3.6167
_cell_length_b 3.6167
_cell_length_c 10.0640
_cell_angle_alpha 79.65
_cell_angle_beta 79.65
_cell_angle_gamma 60.00
loop_
_symmetry_equiv_pos_as_xyz
'x,y,z'
loop_
_atom_site_label
_atom_site_type_symbol
_atom_site_fract_x
_atom_site_fract_y
_atom_site_fract_z
C1 C 0.5000 0.5000 0.5000
Lu1 Lu 0.0000 0.0000 0.0000
Nd1 Nd 0.1183 0.1183 0.6451
Nd2 Nd 0.8817 0.8817 0.3549